(1)
{"formula": "LiLu2Be", "functional": "GGA-PBE", "state": "relaxed", "lattice_angstrom": [[3.398, 0.000, 0.000], [0.000, 3.398, 0.000], [0.000, 0.000, 7.340]], "species": ["Li", "Lu", "Lu", "Be"], "fractional_positions": [[0.000, 0.000, 0.000], [0.500, 0.500, 0.285], [0.500, 0.500, 0.715], [0.000, 0.000, 0.500]], "e_form_kcal_per_mol_atoms": 1.98, "final_energy_ev_per_cell": -14.34, "space_group": "P4/mmm (123)", "relative_energy_ev_per_atom": 0.0000}


(2)
{"formula": "LiLu2Be", "functional": "GGA-PBE", "state": "relaxed", "lattice_angstrom": [[0.000, 3.451, 3.451], [3.451, 0.000, 3.451], [3.451, 3.451, 0.000]], "species": ["Li", "Lu", "Lu", "Be"], "fractional_positions": [[0.000, 0.000, 0.000], [0.250, 0.250, 0.250], [0.750, 0.750, 0.750], [0.500, 0.500, 0.500]], "e_form_kcal_per_mol_atoms": 2.78, "final_energy_ev_per_cell": -14.20, "space_group": "Fm-3m (225)", "relative_energy_ev_per_atom": 0.0347}


(3)
{"formula": "LiLu2Be", "functional": "GGA-PBE", "state": "relaxed", "lattice_angstrom": [[1.674, 0.966, 10.242], [-1.674, 0.966, 10.242], [0.000, -1.933, 10.242]], "species": ["Li", "Lu", "Lu", "Be"], "fractional_positions": [[0.000, 0.000, 0.000], [0.103, 0.103, 0.103], [0.897, 0.897, 0.897], [0.500, 0.500, 0.500]], "e_form_kcal_per_mol_atoms": 7.70, "final_energy_ev_per_cell": -13.35, "space_group": "R-3m (166)", "relative_energy_ev_per_atom": 0.2480}


(4)
{"formula": "LiLuMgBe", "functional": "GGA-PBE", "state": "relaxed", "lattice_angstrom": [[0.000, 3.307, 3.307], [3.307, 0.000, 3.307], [3.307, 3.307, 0.000]], "species": ["Li", "Lu", "Mg", "Be"], "fractional_positions": [[0.000, 0.000, 0.000], [0.250, 0.250, 0.250], [0.750, 0.750, 0.750], [0.500, 0.500, 0.500]], "e_form_kcal_per_mol_atoms": 1.62, "final_energy_ev_per_cell": -11.47, "space_group": "F-43m (216)"}


(5)
{"formula": "LiPmLuBe", "functional": "GGA-PBE", "state": "relaxed", "lattice_angstrom": [[0.000, 3.535, 3.535], [3.535, 0.000, 3.535], [3.535, 3.535, 0.000]], "species": ["Li", "Pm", "Lu", "Be"], "fractional_positions": [[0.000, 0.000, 0.000], [0.750, 0.750, 0.750], [0.250, 0.250, 0.250], [0.500, 0.500, 0.500]], "e_form_kcal_per_mol_atoms": 3.33, "final_energy_ev_per_cell": -14.33, "space_group": "F-43m (216)"}


(6)
{"formula": "LiLuScBe", "functional": "GGA-PBE", "state": "relaxed", "lattice_angstrom": [[0.000, 3.377, 3.377], [3.377, 0.000, 3.377], [3.377, 3.377, 0.000]], "species": ["Li", "Lu", "Sc", "Be"], "fractional_positions": [[0.000, 0.000, 0.000], [0.250, 0.250, 0.250], [0.750, 0.750, 0.750], [0.500, 0.500, 0.500]], "e_form_kcal_per_mol_atoms": 2.60, "final_energy_ev_per_cell": -16.04, "space_group": "F-43m (216)"}